1.
Density functional theory data (PBE-GGA) for crystalline LiCdI2N at its relaxed geometry.

For the excess energy over the best structure of this formula in the dataset, the calculation gives 1.062 eV per formula unit. For the uncorrected energy, the calculation gives -2.377 eV per atom. For the theoretical density, the calculation gives 4.978 g cm⁻³.

It has space group P4/mmm (No. 123), with a = 5.633 Å, b = 5.633 Å, c = 4.071 Å, α = 90.00°, β = 90.00° and γ = 90.00°. The inequivalent atoms are Li at (0.000, 0.000, 0.000), Cd at (0.500, 0.500, 0.500), I at (0.000, 0.500, 0.000) and N at (0.000, 0.000, 0.500).

2.
Density functional theory data (PBE-GGA) for crystalline LiCdI2N at its relaxed geometry.

For the excess energy over the best structure of this formula in the dataset, the calculation gives 0.000 eV per formula unit. For the uncorrected energy, the calculation gives -2.590 eV per atom. For the theoretical density, the calculation gives 3.955 g cm⁻³.

It has space group P4/mmm (No. 123), with a = 6.116 Å, b = 6.116 Å, c = 4.346 Å, α = 90.00°, β = 90.00° and γ = 90.00°. The inequivalent atoms are Li at (0.000, 0.000, 0.000), Cd at (0.500, 0.500, 0.500), I at (0.000, 0.500, 0.500) and N at (0.500, 0.500, 0.000).

3.
Density functional theory data (PBE-GGA) for crystalline Na3Li3CdI8 at its relaxed geometry.

For the uncorrected energy, the calculation gives -2.617 eV per atom. For the theoretical density, the calculation gives 4.103 g cm⁻³.

It has space group R-3m (No. 166, hexagonal axes), with a = 8.7642 Å, b = 8.7642 Å, c = 22.2167 Å, α = 90.00°, β = 90.00° and γ = 120.00°. The inequivalent atoms are Na at (0.0000, 0.5000, 0.0000), Li at (0.0000, 0.5000, 0.5000), Cd at (0.0000, 0.0000, 0.5000), I at (0.0000, 0.0000, 0.2435) and I at (0.0004, 0.5002, 0.2428).

4.
Density functional theory data (PBE-GGA) for crystalline NaLiCd2I6 at its relaxed geometry.

For the uncorrected energy, the calculation gives -2.261 eV per atom. For the theoretical density, the calculation gives 4.195 g cm⁻³.

It has space group C2/c (No. 15), with a = 14.922 Å, b = 13.984 Å, c = 7.901 Å, α = 90.00°, β = 102.57° and γ = 90.00°. The inequivalent atoms are Na at (0.000, 0.099, 0.250), Li at (0.000, 0.240, 0.750), Cd at (0.191, 0.413, 0.275), I at (0.114, 0.088, 0.641), I at (0.120, 0.250, 0.088) and I at (0.130, 0.414, 0.597).